# Li4La5Hg4, optimized geometry, DFT GGA-PBE
# Density: 7.142 g/cm³
# Calculated formation energy: -308 meV/atom
# Magnetic moment: 0.0 μB per formula unit
# Calculated volume: 709.0 Å³/cell
# Uncorrected energy: -2.89 eV/atom
data_Li4La5Hg4
_cell_length_a 12.015
_cell_length_b 12.015
_cell_length_c 4.912
_cell_angle_alpha 90.00
_cell_angle_beta 90.00
_cell_angle_gamma 90.00
_space_group_name_H-M_alt 'I 4/m'
_space_group_IT_number 87
_space_group_name_Hall '-I 4'
loop_
_atom_site_label
_atom_site_type_symbol
_atom_site_fract_x
_atom_site_fract_y
_atom_site_fract_z
_atom_site_occupancy
Li1 Li 0.067 0.601 0.000 1
La1 La 0.000 0.000 0.500 1
La2 La 0.133 0.207 0.000 1
Hg1 Hg 0.051 0.737 0.500 1